(1)
The following is a DFT calculation (GGA-PBE) of a geometry-optimized RbMg2AgCl6 structure.

a = 7.495 Å, b = 9.760 Å, c = 9.760 Å
α = 91.35°, β = 76.47°, γ = 76.47°
Fractional positions:
Rb 0.250 0.890 0.110
Rb 0.750 0.110 0.890
Mg 0.306 0.765 0.613
Mg 0.194 0.387 0.235
Mg 0.694 0.235 0.387
Mg 0.806 0.613 0.765
Ag 0.250 0.239 0.761
Ag 0.750 0.761 0.239
Cl 0.200 0.956 0.786
Cl 0.300 0.214 0.044
Cl 0.800 0.044 0.214
Cl 0.700 0.786 0.956
Cl 0.422 0.843 0.391
Cl 0.078 0.609 0.157
Cl 0.578 0.157 0.609
Cl 0.922 0.391 0.843
Cl 0.038 0.681 0.587
Cl 0.462 0.413 0.319
Cl 0.962 0.319 0.413
Cl 0.538 0.587 0.681

Summary:
spin magnetization = 0.0 Bohr magnetons per cell
E_form (uncorrected) = -1.56 eV per atom
crystal system = monoclinic
density of states at the Fermi level = 0.000 states/eV per atom

---

(2)
The following is a DFT calculation (GGA-PBE) of a geometry-optimized Rb2MgAgCl5 structure.

a = 4.060 Å, b = 9.961 Å, c = 13.422 Å
α = 90.00°, β = 90.00°, γ = 101.76°
Fractional positions:
Rb 0.868 0.735 0.807
Rb 0.115 0.230 0.689
Rb 0.132 0.265 0.307
Rb 0.885 0.770 0.189
Mg 0.786 0.572 0.520
Mg 0.214 0.428 0.020
Ag 0.557 0.113 0.940
Ag 0.443 0.887 0.440
Cl 0.339 0.678 0.003
Cl 0.701 0.401 0.892
Cl 0.498 0.997 0.778
Cl 0.281 0.561 0.645
Cl 0.913 0.827 0.551
Cl 0.661 0.322 0.503
Cl 0.299 0.599 0.392
Cl 0.502 0.003 0.278
Cl 0.719 0.439 0.145
Cl 0.087 0.173 0.051

Summary:
spin magnetization = 0.0 Bohr magnetons per cell
E_form (uncorrected) = -1.58 eV per atom
crystal system = orthorhombic
density of states at the Fermi level = 0.000 states/eV per atom

---

(3)
The following is a DFT calculation (GGA-PBE) of a geometry-optimized Rb3MgAg2Cl9 structure.

a = 7.258 Å, b = 7.258 Å, c = 8.915 Å
α = 90.00°, β = 90.00°, γ = 120.00°
Fractional positions:
Rb 0.333 0.667 0.660
Rb 0.000 0.000 0.000
Rb 0.667 0.333 0.340
Mg 0.000 0.000 0.500
Ag 0.333 0.667 0.166
Ag 0.667 0.333 0.834
Cl 0.837 0.163 0.664
Cl 0.837 0.674 0.664
Cl 0.326 0.163 0.664
Cl 0.674 0.837 0.336
Cl 0.163 0.326 0.336
Cl 0.163 0.837 0.336
Cl 0.500 0.000 0.000
Cl 0.000 0.500 0.000
Cl 0.500 0.500 0.000

Summary:
spin magnetization = 0.0 Bohr magnetons per cell
E_form (uncorrected) = -1.31 eV per atom
crystal system = trigonal
density of states at the Fermi level = 0.237 states/eV per atom

---

(4)
The following is a DFT calculation (GGA-PBE) of a geometry-optimized Rb3MgAg3Cl8 structure.

a = 8.118 Å, b = 8.388 Å, c = 8.788 Å
α = 118.32°, β = 90.00°, γ = 118.94°
Fractional positions:
Rb 0.000 0.000 0.000
Rb 0.000 0.500 0.000
Rb 0.500 0.500 0.000
Mg 0.000 0.000 0.500
Ag 0.500 0.000 0.500
Ag 0.500 0.500 0.500
Ag 0.000 0.500 0.500
Cl 0.262 0.524 0.305
Cl 0.738 0.476 0.695
Cl 0.790 0.580 0.317
Cl 0.210 0.420 0.683
Cl 0.776 0.012 0.306
Cl 0.224 0.988 0.694
Cl 0.236 0.012 0.306
Cl 0.764 0.988 0.694

Summary:
spin magnetization = 0.0 Bohr magnetons per cell
E_form (uncorrected) = -1.29 eV per atom
crystal system = monoclinic
density of states at the Fermi level = 0.000 states/eV per atom

---

(5)
The following is a DFT calculation (GGA-PBE) of a geometry-optimized RbMgAg2Cl6 structure.

a = 9.942 Å, b = 9.472 Å, c = 9.472 Å
α = 54.94°, β = 62.85°, γ = 62.85°
Fractional positions:
Rb 0.250 0.684 0.316
Rb 0.750 0.316 0.684
Mg 0.250 0.186 0.814
Mg 0.750 0.814 0.186
Ag 0.383 0.785 0.669
Ag 0.117 0.331 0.215
Ag 0.617 0.215 0.331
Ag 0.883 0.669 0.785
Cl 0.221 0.919 0.881
Cl 0.279 0.119 0.081
Cl 0.779 0.081 0.119
Cl 0.721 0.881 0.919
Cl 0.527 0.716 0.409
Cl 0.973 0.591 0.284
Cl 0.473 0.284 0.591
Cl 0.027 0.409 0.716
Cl 0.142 0.725 0.702
Cl 0.358 0.298 0.275
Cl 0.858 0.275 0.298
Cl 0.642 0.702 0.725

Summary:
spin magnetization = 0.0 Bohr magnetons per cell
E_form (uncorrected) = -1.11 eV per atom
crystal system = monoclinic
density of states at the Fermi level = 0.504 states/eV per atom

---

(6)
The following is a DFT calculation (GGA-PBE) of a geometry-optimized MgReAgCl2 structure.

a = 4.958 Å, b = 5.505 Å, c = 4.958 Å
α = 90.00°, β = 90.00°, γ = 90.00°
Site moments in Bohr magnetons follow the coordinates.
Fractional positions:
Re 0.000 0.500 0.000  3.33
Mg 0.500 0.500 0.500  -0.06
Ag 0.000 0.000 0.000  0.08
Cl 0.000 0.000 0.500  0.04
Cl 0.500 0.000 0.000  0.04

Summary:
spin magnetization = 4.0 Bohr magnetons per cell
E_form (uncorrected) = 0.98 eV per atom
crystal system = tetragonal
excess energy over the best structure of this formula in the dataset = 197 kJ/mol of formula units
density of states at the Fermi level = 0.566 states/eV per atom

---

(7)
The following is a DFT calculation (GGA-PBE) of a geometry-optimized MgReAgCl2 structure.

a = 4.566 Å, b = 6.429 Å, c = 4.566 Å
α = 90.00°, β = 90.00°, γ = 90.00°
Site moments in Bohr magnetons follow the coordinates.
Fractional positions:
Re 0.500 0.500 0.500  3.79
Mg 0.000 0.000 0.000  0.00
Ag 0.000 0.500 0.000  0.01
Cl 0.000 0.000 0.500  0.03
Cl 0.500 0.000 0.000  0.02

Summary:
spin magnetization = 4.6 Bohr magnetons per cell
E_form (uncorrected) = 0.57 eV per atom
crystal system = tetragonal
excess energy over the best structure of this formula in the dataset = 0 kJ/mol of formula units
density of states at the Fermi level = 0.242 states/eV per atom

---

(8)
The following is a DFT calculation (GGA-PBE) of a geometry-optimized MgSc2AgCl structure.

a = 4.784 Å, b = 5.110 Å, c = 4.784 Å
α = 90.00°, β = 90.00°, γ = 90.00°
Fractional positions:
Sc 0.000 0.000 0.500
Sc 0.500 0.000 0.000
Mg 0.500 0.500 0.500
Ag 0.000 0.500 0.000
Cl 0.000 0.000 0.000

Summary:
spin magnetization = 0.0 Bohr magnetons per cell
E_form (uncorrected) = -0.09 eV per atom
crystal system = tetragonal
density of states at the Fermi level = 0.988 states/eV per atom